No. 1
TmPuCuHg: relaxed, PBE.

a = 5.1114 Å, b = 5.1114 Å, c = 5.1114 Å
α = 60.00°, β = 60.00°, γ = 60.00°
Each line ends with the local moment (μB).
Element x y z (fractional)
Pu (0.7500, 0.7500, 0.7500)  5.36
Cu (0.0000, 0.0000, 0.0000)  0.02
Hg (0.5000, 0.5000, 0.5000)  0.04
Tm (0.2500, 0.2500, 0.2500)  0.13

Computed properties:
ΔE_f = -0.10 eV per atom
crystal system = cubic
E_tot = -5.90 eV per atom
N(E_F) = 10.0 states/eV/cell


No. 2
VTePCl2: relaxed, PBE.

a = 5.2076 Å, b = 5.2076 Å, c = 5.2658 Å
α = 90.00°, β = 90.00°, γ = 90.00°
Each line ends with the local moment (μB).
Element x y z (fractional)
Te (0.0000, 0.0000, 0.0000)  -0.01
P (0.0000, 0.0000, 0.5000)  0.13
Cl (0.0000, 0.5000, 0.0000)  0.00
Cl (0.5000, 0.0000, 0.0000)  0.00
V (0.5000, 0.5000, 0.5000)  -3.10

Computed properties:
crystal system = tetragonal
E_tot = -3.50 eV per atom
excess energy over the best structure of this formula in the dataset = 4.12 eV per formula unit
energy relative to the elements, uncorrected = 768 meV per atom
N(E_F) = 4.1 states/eV/cell


No. 3
PPbS3: relaxed, PBE.

a = 5.1105 Å, b = 5.1105 Å, c = 5.1105 Å
α = 90.00°, β = 90.00°, γ = 90.00°
Element x y z (fractional)
S (0.0000, 0.0000, 0.5000)
S (0.0000, 0.5000, 0.0000)
S (0.5000, 0.0000, 0.0000)
Pb (0.0000, 0.0000, 0.0000)
P (0.5000, 0.5000, 0.5000)

Computed properties:
crystal system = cubic
E_tot = -3.09 eV per atom
energy relative to the elements, uncorrected = 1209 meV per atom
N(E_F) = 5.2 states/eV/cell


No. 4
Hf2ZrPa: relaxed, PBE.

a = 4.5975 Å, b = 4.5255 Å, c = 4.5255 Å
α = 90.00°, β = 90.00°, γ = 90.00°
Element x y z (fractional)
Hf (0.0000, 0.0000, 0.5000)
Hf (0.0000, 0.5000, 0.0000)
Zr (0.5000, 0.0000, 0.0000)
Pa (0.5000, 0.5000, 0.5000)

Computed properties:
ΔE_f = 0.14 eV per atom
crystal system = tetragonal
E_tot = -9.35 eV per atom
excess energy over the best structure of this formula in the dataset = 0.40 eV per formula unit
N(E_F) = 6.8 states/eV/cell


No. 5
CrWI2N: relaxed, PBE.

a = 5.6659 Å, b = 5.6659 Å, c = 3.8476 Å
α = 90.00°, β = 90.00°, γ = 90.00°
Each line ends with the local moment (μB).
Element x y z (fractional)
I (0.5000, 0.0000, 0.0000)  0.00
I (0.0000, 0.5000, 0.0000)  0.00
N (0.0000, 0.0000, 0.5000)  -0.07
W (0.0000, 0.0000, 0.0000)  0.91
Cr (0.5000, 0.5000, 0.5000)  4.31

Computed properties:
crystal system = tetragonal
E_tot = -6.15 eV per atom
excess energy over the best structure of this formula in the dataset = 0.00 eV per formula unit
energy relative to the elements, uncorrected = 654 meV per atom
N(E_F) = 1.8 states/eV/cell


No. 6
CdH: relaxed, PBE.

a = 3.1585 Å, b = 3.1748 Å, c = 6.6049 Å
α = 76.47°, β = 76.33°, γ = 89.54°
Element x y z (fractional)
Cd (0.0892, 0.3081, 0.2703)
Cd (0.3882, 0.5450, 0.6280)
H (0.3298, 0.9482, 0.7999)
H (0.6774, 0.3008, 0.1019)

Computed properties:
crystal system = triclinic
E_tot = -1.82 eV per atom
excess energy over the best structure of this formula in the dataset = 0.36 eV per formula unit
N(E_F) = 0.3 states/eV/cell


Please write out number 5 again, unchanged.
CrWI2N: relaxed, PBE.

a = 5.6659 Å, b = 5.6659 Å, c = 3.8476 Å
α = 90.00°, β = 90.00°, γ = 90.00°
Each line ends with the local moment (μB).
Element x y z (fractional)
I (0.5000, 0.0000, 0.0000)  0.00
I (0.0000, 0.5000, 0.0000)  0.00
N (0.0000, 0.0000, 0.5000)  -0.07
W (0.0000, 0.0000, 0.0000)  0.91
Cr (0.5000, 0.5000, 0.5000)  4.31

Computed properties:
crystal system = tetragonal
E_tot = -6.15 eV per atom
excess energy over the best structure of this formula in the dataset = 0.00 eV per formula unit
energy relative to the elements, uncorrected = 654 meV per atom
N(E_F) = 1.8 states/eV/cell